TlTc2Se: relaxed, PBE.

Output
Its spin magnetization is 0.00 μB/f.u. The total energy is -6.167 eV per atom. The density of states at the Fermi level comes out at 3.18 states/eV per cell. For the formation energy (no corrections), the calculation gives 184.6 kJ/mol of formula units.

```
TlTc2Se
1.0
8.565 0.006 0.003
8.010 3.032 0.003
8.010 1.468 2.653
Tc Se Tl
2 1 1
direct
0.489 0.489 0.489 Tc
0.011 0.011 0.011 Tc
0.750 0.750 0.750 Se
0.250 0.250 0.250 Tl
```


SrCa4In: relaxed, PBE.

Output
Its spin magnetization is 0.00 μB/f.u. The total energy is -1.953 eV per atom. The density of states at the Fermi level comes out at 6.55 states/eV per cell.

```
SrCa4In
1.0
0.000 4.993 4.993
4.993 0.000 4.993
4.993 4.993 0.000
Ca Sr In
4 1 1
direct
0.376 0.376 0.376 Ca
0.376 0.376 0.873 Ca
0.873 0.376 0.376 Ca
0.376 0.873 0.376 Ca
0.000 0.000 0.000 Sr
0.750 0.750 0.750 In
```


MgAlIn2: relaxed, PBE.

Output
Its spin magnetization is 0.00 μB/f.u. The total energy is -2.630 eV per atom. The density of states at the Fermi level comes out at 1.83 states/eV per cell.

```
MgAlIn2
1.0
-3.119 -3.430 -2.864
2.195 -0.146 -2.216
2.439 -4.245 2.428
Mg In Al
1 2 1
direct
0.000 0.384 0.536 Mg
0.500 0.363 0.218 In
0.000 0.871 0.023 In
0.500 0.882 0.723 Al
```


Rb2AgBr7: relaxed, PBE.

Output
Its spin magnetization is 0.00 μB/f.u. The total energy is -2.390 eV per atom. The density of states at the Fermi level comes out at 0.00 states/eV per cell. For the formation energy (no corrections), the calculation gives -714.7 kJ/mol of formula units.

```
Rb2AgBr7
1.0
7.775 0.000 0.000
0.000 7.775 0.000
3.887 3.887 6.042
Br Rb Ag
7 2 1
direct
0.742 0.258 0.000 Br
0.500 0.500 0.000 Br
0.258 0.258 0.000 Br
0.258 0.742 0.000 Br
0.742 0.742 0.000 Br
0.789 0.789 0.421 Br
0.211 0.211 0.579 Br
0.250 0.750 0.500 Rb
0.750 0.250 0.500 Rb
0.000 0.000 0.000 Ag
```